1.
Compound: SrScAs2
Source: the Alexandria database
Functional: PBE
Structure: optimized geometry

Summary:
As for the energy above the most stable polymorph in this dataset: 0.396 eV/atom. Its space group is No. 122.

```
SrScAs2
1.0
6.0970 0.0000 0.0000
0.0000 6.0970 0.0000
0.0000 0.0000 14.7542
Sr Sc As
4 4 8
Cartesian
0.0000 0.0000 0.0000
0.0000 3.0485 3.6885
3.0485 0.0000 11.0656
3.0485 3.0485 7.3771
0.0000 0.0000 7.3771
0.0000 3.0485 11.0656
3.0485 0.0000 3.6885
3.0485 3.0485 0.0000
1.0337 1.5243 9.2213
1.5243 4.0822 12.9099
1.5243 5.0633 5.5328
2.0148 1.5243 1.8443
4.0822 4.5728 1.8443
4.5728 1.0337 5.5328
4.5728 2.0148 12.9099
5.0633 4.5728 9.2213
```


2.
Compound: PaCO
Source: the Alexandria database
Functional: PBE
Structure: optimized geometry

Summary:
As for the energy above the most stable polymorph in this dataset: 0.000 eV/atom. As for the uncorrected formation energy: -1.96 eV/atom. Its space group is No. 12.

```
PaCO
1.0
6.7227 0.0000 0.0000
0.0000 3.7346 0.0000
-0.8513 0.0000 6.4080
Pa C O
4 4 4
Cartesian
0.7860 0.0000 1.5585
1.7240 1.8673 4.8495
4.1474 1.8673 1.5585
5.0853 0.0000 4.8495
-0.3188 1.8673 5.9570
2.8288 0.0000 0.4511
3.0425 0.0000 5.9570
6.1902 1.8673 0.4511
0.7037 0.0000 3.9654
1.8064 1.8673 2.4426
4.0650 1.8673 3.9654
5.1677 0.0000 2.4426
```


3.
Compound: Sr2CuAg2S2O2
Source: the Alexandria database
Functional: PBE
Structure: optimized geometry

Summary:
As for the uncorrected formation energy: -1.27 eV/atom. Its space group is No. 139.

```
Sr2CuAg2S2O2
1.0
-2.0094 2.0094 9.7804
2.0094 -2.0094 9.7804
2.0094 2.0094 -9.7804
Sr Cu Ag S O
2 1 2 2 2
Cartesian
0.0000 0.0000 1.6909
0.0000 0.0000 17.8700
0.0000 0.0000 9.7804
2.0094 0.0000 4.8902
0.0000 2.0094 4.8902
0.0000 0.0000 6.7055
0.0000 0.0000 12.8554
2.0094 0.0000 0.0000
0.0000 2.0094 0.0000
```


4.
Compound: ZnTeP
Source: the Alexandria database
Functional: PBE
Structure: optimized geometry

Summary:
As for the energy above the most stable polymorph in this dataset: 0.045 eV/atom. As for the uncorrected formation energy: -0.08 eV/atom. Its space group is No. 1.

```
ZnTeP
1.0
4.4203 0.0000 0.0000
0.9930 4.7987 0.0000
1.9160 1.3560 7.2095
Zn Te P
2 2 2
Cartesian
0.0000 0.0000 0.0000
2.7113 2.6797 3.7608
2.2134 1.5019 0.1851
5.0140 3.7893 2.5864
3.1027 4.4403 5.5595
4.7329 5.4653 4.5189
```


5.
Compound: DyY4Sc
Source: the Alexandria database
Functional: PBE
Structure: optimized geometry

Summary:
As for the energy above the most stable polymorph in this dataset: 0.000 eV/atom. Its space group is No. 12.

```
DyY4Sc
1.0
11.1250 0.0000 0.0000
0.0000 4.9656 0.0000
-2.2124 0.0000 6.6760
Dy Y Sc
2 8 2
Cartesian
0.0000 0.0000 0.0000
5.5625 2.4828 0.0000
-0.0192 2.4828 5.5387
1.1120 2.4828 2.2372
2.2381 0.0000 4.4388
3.3694 0.0000 1.1373
5.5433 0.0000 5.5387
6.6745 0.0000 2.2372
7.8007 2.4828 4.4388
8.9319 2.4828 1.1373
-1.1062 0.0000 3.3380
4.4563 2.4828 3.3380
```


6.
Compound: Sm2Al3Hg
Source: the Alexandria database
Functional: PBE
Structure: optimized geometry

Summary:
As for the energy above the most stable polymorph in this dataset: 0.000 eV/atom. Its space group is No. 69.

```
Sm2Al3Hg
1.0
0.0000 4.6276 7.9956
3.7461 0.0000 7.9956
3.7461 4.6276 0.0000
Sm Al Hg
4 6 2
Cartesian
5.6306 4.6276 7.9956
1.8730 2.3138 3.9978
5.6191 6.9413 11.9935
1.8615 4.6276 7.9956
3.7461 2.3450 6.6795
3.7461 4.6276 5.3733
3.7461 2.3450 9.3117
3.7461 6.9101 6.6795
3.7461 4.6276 10.6180
3.7461 6.9101 9.3117
3.7461 4.6276 2.6706
3.7461 4.6276 13.3207
```


7.
Compound: VIr3Au
Source: the Alexandria database
Functional: PBE
Structure: optimized geometry

Summary:
The value obtained for the energy is -6.590 eV/atom. Its space group is No. 221.

```
VIr3Au
1.0
4.5203 0.0000 0.0000
0.0000 4.5203 0.0000
0.0000 0.0000 4.5203
V Ir Au
1 3 1
Cartesian
0.0000 0.0000 0.0000
0.0000 0.0000 2.2602
0.0000 2.2602 0.0000
2.2602 0.0000 0.0000
2.2602 2.2602 2.2602
```


8.
Compound: ZrCu
Source: the Alexandria database
Functional: PBE
Structure: optimized geometry

Summary:
The value obtained for the energy is -6.161 eV/atom. Its space group is No. 136.

```
ZrCu
1.0
5.2660 0.0000 0.0000
0.0000 5.2660 0.0000
0.0000 0.0000 5.4444
Zr Cu
4 4
Cartesian
1.0493 1.0493 0.0000
1.5837 3.6823 2.7222
3.6823 1.5837 2.7222
4.2167 4.2167 0.0000
0.9261 0.9261 2.7222
1.7069 3.5591 0.0000
3.5591 1.7069 0.0000
4.3399 4.3399 2.7222
```


9.
Compound: AlIn2S
Source: the Alexandria database
Functional: PBE
Structure: optimized geometry

Summary:
As for the energy above the most stable polymorph in this dataset: 0.000 eV/atom. As for the uncorrected formation energy: 0.01 eV/atom. Its space group is No. 122.

```
AlIn2S
1.0
6.3358 0.0000 0.0000
0.0000 6.3358 0.0000
0.0000 0.0000 12.0658
Al In S
4 8 4
Cartesian
0.0000 0.0000 0.0000
0.0000 3.1679 3.0164
3.1679 0.0000 9.0493
3.1679 3.1679 6.0329
1.5308 1.5839 7.5411
1.5839 4.6987 10.5576
1.5839 4.8049 4.5247
1.6370 1.5839 1.5082
4.6987 4.7518 1.5082
4.7518 1.5308 4.5247
4.7518 1.6370 10.5576
4.8049 4.7518 7.5411
0.0000 0.0000 6.0329
0.0000 3.1679 9.0493
3.1679 0.0000 3.0164
3.1679 3.1679 0.0000
```


10.
Compound: SrPt
Source: the Alexandria database
Functional: PBE
Structure: optimized geometry

Summary:
The value obtained for the energy is -4.174 eV/atom. Its space group is No. 217.

```
SrPt
1.0
8.9871 0.0000 0.0000
0.0000 8.9871 0.0000
0.0000 0.0000 8.9871
Sr Pt
8 8
Cartesian
1.8005 1.8005 1.8005
1.8005 7.1867 7.1867
2.6931 2.6931 6.2940
2.6931 6.2940 2.6931
6.2940 2.6931 2.6931
6.2940 6.2940 6.2940
7.1867 1.8005 7.1867
7.1867 7.1867 1.8005
1.0013 1.0013 7.9859
1.0013 7.9859 1.0013
3.4923 3.4923 3.4923
3.4923 5.4948 5.4948
5.4948 3.4923 5.4948
5.4948 5.4948 3.4923
7.9859 1.0013 1.0013
7.9859 7.9859 7.9859
```


11.
Compound: LiIn2PtPb
Source: the Alexandria database
Functional: PBE
Structure: optimized geometry

Summary:
The value obtained for the energy is -3.617 eV/atom. Its space group is No. 123.

```
LiIn2PtPb
1.0
5.1792 0.0000 0.0000
0.0000 5.1792 0.0000
0.0000 0.0000 4.8666
Li In Pt Pb
1 2 1 1
Cartesian
0.0000 0.0000 0.0000
0.0000 2.5896 2.4333
2.5896 0.0000 2.4333
0.0000 0.0000 2.4333
2.5896 2.5896 0.0000
```


12.
Compound: Pm8HIr3I4
Source: the Alexandria database
Functional: PBE
Structure: optimized geometry

Summary:
The value obtained for the energy is -5.494 eV/atom. Its space group is No. 166.

```
Pm8HIr3I4
1.0
4.1436 2.3923 8.0520
-4.1436 2.3923 8.0520
0.0000 -4.7846 8.0520
Pm H Ir I
8 1 3 4
Cartesian
-2.0905 -1.2069 13.5590
0.0000 0.0000 5.5195
0.0000 -2.4139 10.5971
-2.0905 1.2069 10.5971
2.0905 -1.2069 13.5590
0.0000 2.4139 13.5590
0.0000 0.0000 18.6366
2.0905 1.2069 10.5971
0.0000 0.0000 12.0780
-4.1436 0.0000 12.0780
-2.0718 1.1961 4.0260
2.0718 1.1961 4.0260
0.0000 0.0000 0.0000
-2.0718 -1.1961 8.0520
-2.0718 1.1961 16.1041
0.0000 2.3923 8.0520
```